1.
# Zr2TiCuH

A relaxed Zr2TiCuH crystal (GGA-PBE, the Alexandria database).

Energy, eV/atom: -6.58

abc: 4.4032 4.4032 3.9362
angles: 90.00 90.00 90.00
With the nearest neighbours (Å) after each atom.
Space group P4/mmm (No. 123)
Unique sites:
Zr 0.0000 0.5000 0.0000 [2 per cell]  2 H 2.20
Ti 0.0000 0.0000 0.5000 [1 per cell]  8 Zr 2.95, 4 Cu 3.11
Cu 0.5000 0.5000 0.5000 [1 per cell]  2 H 1.97
H 0.5000 0.5000 0.0000 [1 per cell]  2 Cu 1.97, 4 Zr 2.20

=====

2.
# ZrTi2CuH

A relaxed ZrTi2CuH crystal (GGA-PBE, the Alexandria database).

Energy, eV/atom: -6.42

abc: 4.1399 4.1399 4.0831
angles: 90.00 90.00 90.00
With the nearest neighbours (Å) after each atom.
Space group P4/mmm (No. 123)
Unique sites:
Zr 0.0000 0.0000 0.0000 [1 per cell]  8 Ti 2.91, 4 Cu 2.93
Ti 0.0000 0.5000 0.5000 [2 per cell]  2 H 2.07
Cu 0.5000 0.5000 0.0000 [1 per cell]  2 H 2.04
H 0.5000 0.5000 0.5000 [1 per cell]  2 Cu 2.04, 4 Ti 2.07